HfBeTe2: optimized geometry, PBE.

Cell lengths 9.005, 9.005, 9.005 Å; angles 22.70, 22.70, 22.70 degrees
Positions (direct):
Te (0.892, 0.892, 0.892)
Te (0.108, 0.108, 0.108)
Be (0.500, 0.500, 0.500)
Hf (0.000, 0.000, 0.000)

Its total energy is -4.746 eV per atom. The value obtained for the density of states at the Fermi level is 4.004 states/eV/f.u. For the formation energy from raw total energies, the calculation gives 0.245 eV/atom. Its crystal system is trigonal.